VASP calculation (GGA-PBE) on a relaxed structure of InCuRe2.

Calculated values
- ΔE_f (eV per atom) = 0.57
- D(E_F) (states/eV per atom) = 0.59
- DFT total energy (eV per atom) = -7.368

Structure (POSCAR):
```
InCuRe2
1.0
5.3633 -0.0065 0.0156
-2.6847 4.6430 0.0156
0.4997 0.8650 2.5536
Re Cu In
2 1 1
Direct
0.5000 0.5000 0.0000
0.0000 0.0000 0.0000
0.5000 0.0000 0.5000
0.0000 0.5000 0.5000
```

=====

VASP calculation (GGA-PBE) on a relaxed structure of Ce2YHoP4.

Calculated values
- ΔE_f (eV per atom) = -1.56
- D(E_F) (states/eV per atom) = 1.12
- DFT total energy (eV per atom) = -7.132

Structure (POSCAR):
```
Ce2YHoP4
1.0
-4.0290 0.0933 0.3680
-0.4446 -6.1656 -3.3046
0.6036 -1.0756 6.8805
Y P Ce Ho
1 4 2 1
Direct
0.0000 0.0000 0.0000
0.0000 0.7478 0.2463
0.5000 0.7500 0.7530
0.0000 0.2522 0.7537
0.5000 0.2500 0.2470
0.0000 0.5000 0.5000
0.5000 0.0000 0.5000
0.5000 0.5000 0.0000
```

=====

VASP calculation (GGA-PBE) on a relaxed structure of Tl2HgP.

Calculated values
- ΔE_f (eV per atom) = 0.15
- D(E_F) (states/eV per atom) = 0.47
- DFT total energy (eV per atom) = -2.461
- excess energy over the best structure of this formula in the dataset (eV per atom) = 0.0330

Structure (POSCAR):
```
Tl2HgP
1.0
7.6217 -0.0140 -0.0086
6.4362 4.0823 -0.0086
6.4362 1.8626 3.6327
Tl P Hg
2 1 1
Direct
0.0212 0.0212 0.0212
0.2359 0.2359 0.2359
0.7630 0.7630 0.7630
0.4798 0.4798 0.4798
```

=====

VASP calculation (GGA-PBE) on a relaxed structure of KLaYH2.

Calculated values
- D(E_F) (states/eV per atom) = 0.89
- DFT total energy (eV per atom) = -3.271

Structure (POSCAR):
```
KLaYH2
1.0
-1.0640 1.8409 4.0536
-1.0957 -5.8687 2.3775
4.3831 -0.2975 1.2856
La H Y K
1 2 1 1
Direct
0.0000 0.5000 0.0000
0.5000 0.0000 0.0000
0.0000 0.0000 0.5000
0.0000 0.0000 0.0000
0.5000 0.5000 0.5000
```

=====

VASP calculation (GGA-PBE) on a relaxed structure of TcNi2Ag.

Calculated values
- ΔE_f (eV per atom) = 0.28
- D(E_F) (states/eV per atom) = 1.12
- DFT total energy (eV per atom) = -5.918
- excess energy over the best structure of this formula in the dataset (eV per atom) = 0.1673

Structure (POSCAR):
```
TcNi2Ag
1.0
-0.8218 2.2586 -4.1299
-0.3969 -0.2654 -4.7544
-4.4932 -0.5778 -0.7220
Tc Ni Ag
1 2 1
Direct
0.4824 0.4824 0.5537
0.7388 0.7388 0.7178
0.0190 0.0190 0.0175
0.2598 0.2598 0.2109
```

=====

VASP calculation (GGA-PBE) on a relaxed structure of PaAlFe.

Calculated values
- ΔE_f (eV per atom) = -0.27
- D(E_F) (states/eV per atom) = 0.47
- DFT total energy (eV per atom) = -7.502

Structure (POSCAR):
```
PaAlFe
1.0
-2.7243 0.0254 -1.2247
-1.1650 -0.9761 2.5714
1.2294 5.8123 1.0284
Fe Al Pa
1 1 1
Direct
0.6788 0.6788 0.3577
0.3020 0.3020 0.6041
0.0191 0.0191 0.0382
```

=====

VASP calculation (GGA-PBE) on a relaxed structure of TlNi3.

Calculated values
- ΔE_f (eV per atom) = 0.27
- D(E_F) (states/eV per atom) = 1.22
- DFT total energy (eV per atom) = -4.660

Structure (POSCAR):
```
TlNi3
1.0
2.9755 0.0000 0.0000
0.0000 3.1919 0.5232
0.0000 2.2568 6.1586
Ni Tl
3 1
Direct
0.5000 0.7500 0.7500
0.0000 0.0391 0.9617
0.0000 0.4609 0.5383
0.5000 0.2500 0.2500
```

=====

VASP calculation (GGA-PBE) on a relaxed structure of PrErTlAu.

Calculated values
- ΔE_f (eV per atom) = -0.53
- D(E_F) (states/eV per atom) = 0.91
- DFT total energy (eV per atom) = -4.273
- excess energy over the best structure of this formula in the dataset (eV per atom) = 0.0759

Structure (POSCAR):
```
PrErTlAu
1.0
5.3292 0.0000 0.0000
2.6646 4.6152 0.0000
2.6646 1.5384 4.3513
Tl Au Er Pr
1 1 1 1
Direct
0.5000 0.5000 0.5000
0.0000 0.0000 0.0000
0.2500 0.2500 0.2500
0.7500 0.7500 0.7500
```